1.
Computed, not measured: a geometry-optimized FeCoAgHg2 structure at the GGA-PBE level of DFT.

Unit cell a=4.9949 b=4.9949 c=4.9047 alpha=90.00 beta=90.00 gamma=90.00
Fractional coordinates of all 5 atoms:
Fe 0.0000 0.0000 0.0000
Co 0.5000 0.5000 0.5000
Ag 0.0000 0.0000 0.5000
Hg 0.0000 0.5000 0.0000
Hg 0.5000 0.0000 0.0000

Properties
- D(E_F) (states/eV/cell) = 4.20
- energy (eV per atom) = -2.623
- DFT formation energy (eV per atom) = 1.182

---

2.
Computed, not measured: a geometry-optimized In2FeCoAg structure at the GGA-PBE level of DFT.

Unit cell a=5.0884 b=5.0884 c=4.9064 alpha=90.00 beta=90.00 gamma=90.00
Fractional coordinates of all 5 atoms:
In 0.0000 0.5000 0.0000
In 0.5000 0.0000 0.0000
Fe 0.0000 0.0000 0.5000
Co 0.5000 0.5000 0.5000
Ag 0.0000 0.0000 0.0000

Properties
- D(E_F) (states/eV/cell) = 7.25
- energy (eV per atom) = -3.510
- DFT formation energy (eV per atom) = 1.270

---

3.
Computed, not measured: a geometry-optimized La2FeCoAg structure at the GGA-PBE level of DFT.

Unit cell a=5.0042 b=5.0042 c=4.8710 alpha=90.00 beta=90.00 gamma=90.00
Fractional coordinates of all 5 atoms:
La 0.0000 0.5000 0.0000
La 0.5000 0.0000 0.0000
Fe 0.0000 0.0000 0.0000
Co 0.5000 0.5000 0.5000
Ag 0.0000 0.0000 0.5000

Properties
- D(E_F) (states/eV/cell) = 8.67
- energy (eV per atom) = -5.084
- DFT formation energy (eV per atom) = 0.571

---

4.
Computed, not measured: a geometry-optimized MgFeCoAg2 structure at the GGA-PBE level of DFT.

Unit cell a=4.6809 b=4.6809 c=4.6314 alpha=90.00 beta=90.00 gamma=90.00
Fractional coordinates of all 5 atoms:
Mg 0.0000 0.0000 0.0000
Fe 0.0000 0.0000 0.5000
Co 0.5000 0.5000 0.5000
Ag 0.0000 0.5000 0.0000
Ag 0.5000 0.0000 0.0000

Properties
- D(E_F) (states/eV/cell) = 4.74
- energy (eV per atom) = -3.162
- DFT formation energy (eV per atom) = 1.412

---

Q: D(E_F) of number 1 (FeCoAgHg2)?
A: 4.20 states/eV/cell

---

Q: Which of these has the highest energy?
A: FeCoAgHg2